# GGA-PBE TeRu4W, relaxed
# raw formation energy = 695 meV/atom
data_TeRu4W
_cell_length_a 7.296
_cell_length_b 7.296
_cell_length_c 7.296
_cell_angle_alpha 90.00
_cell_angle_beta 90.00
_cell_angle_gamma 90.00
_symmetry_space_group_name_H-M 'F -4 3 m'
_symmetry_Int_Tables_number 216
_symmetry_space_group_name_Hall 'F -4 2 3'
loop_
_atom_site_label
_atom_site_type_symbol
_atom_site_fract_x
_atom_site_fract_y
_atom_site_fract_z
Te1 Te 0.000 0.000 0.000
Ru1 Ru 0.124 0.124 0.376
W1 W 0.250 0.250 0.750